A plane-wave DFT calculation with SCAN was carried out for a PBEsol-optimized structure of SiTe2W.

Output
**Total energy**: -37.90 eV per atom
**Formation energy (no corrections)**: 0.66 eV/atom
**N(E_F)**: 2.79 states/eV per cell

The structure in POSCAR format:
```
SiTe2W
1.0
1.7528 -2.4479 0.0000
1.7528 2.4479 0.0000
0.0000 0.0000 9.8349
Si Te W
1 2 1
Cartesian
0.0000 0.0000 0.0000
0.0000 0.0000 5.8461
1.7528 0.0000 2.6222
1.7528 0.0000 8.0483
```

=====

A plane-wave DFT calculation with SCAN was carried out for a PBEsol-optimized structure of AlSbRu2.

Output
**Total energy**: -28.81 eV per atom
**Formation energy (no corrections)**: -0.14 eV/atom
**N(E_F)**: 2.02 states/eV per cell

The structure in POSCAR format:
```
AlSbRu2
1.0
3.3233 0.0000 0.0000
0.0000 3.3233 0.0000
0.0000 0.0000 5.6761
Al Sb Ru
1 1 2
Cartesian
0.0000 0.0000 0.0000
1.6617 1.6617 3.8896
0.0000 0.0000 2.7512
1.6617 1.6617 0.8825
```

=====

A plane-wave DFT calculation with SCAN was carried out for a PBEsol-optimized structure of HfSi3I.

Output
**Total energy**: -24.94 eV per atom
**Formation energy (no corrections)**: 0.96 eV/atom
**N(E_F)**: 5.86 states/eV per cell

The structure in POSCAR format:
```
HfSi3I
1.0
5.1287 0.0000 0.0000
0.0000 5.1287 0.0000
0.0000 0.0000 5.1287
Hf Si I
1 3 1
Cartesian
0.0000 0.0000 0.0000
0.0000 0.0000 2.5644
0.0000 2.5644 0.0000
2.5644 0.0000 0.0000
2.5644 2.5644 2.5644
```